[1]
BeCrC3 after structural relaxation. Source: the Alexandria database, functional PBE.

## Properties
- total energy (eV per atom) = -6.191
- ΔE_f (meV/atom) = 2014
- energy above the most stable polymorph in this dataset (meV per atom) = 0.0

abc: 3.773 3.773 3.773
angles: 90.00 90.00 90.00
Element x y z (fractional)
Be 0.000 0.000 0.000
Cr 0.500 0.500 0.500
C 0.000 0.500 0.500
C 0.500 0.000 0.500
C 0.500 0.500 0.000

=====

[2]
LiScBi2S4 after structural relaxation. Source: the Alexandria database, functional PBE.

## Properties
- total energy (eV per atom) = -4.854
- uncorrected formation energy (eV per atom) = -0.79

abc: 6.576 3.729 7.430
angles: 90.00 102.16 90.00
Element x y z (fractional)
Li 0.000 0.000 0.000
Sc 0.500 0.500 0.000
Bi 0.000 0.500 0.500
Bi 0.500 0.000 0.500
S 0.260 0.500 0.241
S 0.276 0.000 0.818
S 0.724 0.000 0.182
S 0.740 0.500 0.759

=====

[3]
Sm3Tm4Cd after structural relaxation. Source: the Alexandria database, functional PBE.

## Properties
- total energy (eV per atom) = -4.168
- ΔE_f (meV/atom) = -48
- energy above the most stable polymorph in this dataset (meV per atom) = 16.8

abc: 11.183 7.031 6.149
angles: 90.00 90.00 90.00
Element x y z (fractional)
Sm 0.000 0.129 0.000
Sm 0.235 0.118 0.356
Sm 0.265 0.882 0.856
Sm 0.500 0.871 0.500
Sm 0.735 0.882 0.856
Sm 0.765 0.118 0.356
Tm 0.000 0.388 0.537
Tm 0.000 0.629 0.018
Tm 0.243 0.623 0.362
Tm 0.257 0.377 0.862
Tm 0.500 0.371 0.518
Tm 0.500 0.612 0.037
Tm 0.743 0.377 0.862
Tm 0.757 0.623 0.362
Cd 0.000 0.862 0.528
Cd 0.500 0.138 0.028

=====

[4]
RbFeSbC2 after structural relaxation. Source: the Alexandria database, functional PBE.

## Properties
- total energy (eV per atom) = -4.257
- uncorrected formation energy (eV per atom) = 2.14

abc: 4.139 4.139 5.288
angles: 90.00 90.00 90.00
Element x y z (fractional)
Rb 0.000 0.000 0.000
Fe 0.000 0.000 0.500
Sb 0.500 0.500 0.000
C 0.000 0.500 0.500
C 0.500 0.000 0.500

=====

[5]
KH3Cl6 after structural relaxation. Source: the Alexandria database, functional PBE.

## Properties
- total energy (eV per atom) = -2.731

abc: 8.250 8.250 8.250
angles: 114.61 114.61 114.61
Element x y z (fractional)
K 0.000 0.000 0.000
H 0.378 0.828 0.828
H 0.828 0.378 0.828
H 0.828 0.828 0.378
Cl 0.011 0.011 0.435
Cl 0.011 0.435 0.011
Cl 0.364 0.570 0.570
Cl 0.435 0.011 0.011
Cl 0.570 0.364 0.570
Cl 0.570 0.570 0.364

=====

[6]
SrLaB2 after structural relaxation. Source: the Alexandria database, functional PBE.

## Properties
- total energy (eV per atom) = -4.044
- ΔE_f (meV/atom) = 947
- energy above the most stable polymorph in this dataset (meV per atom) = 257.7

abc: 7.204 7.204 7.765
angles: 90.00 90.00 90.00
Element x y z (fractional)
Sr 0.000 0.000 0.000
Sr 0.000 0.500 0.250
Sr 0.500 0.000 0.750
Sr 0.500 0.500 0.500
La 0.000 0.000 0.500
La 0.000 0.500 0.750
La 0.500 0.000 0.250
La 0.500 0.500 0.000
B 0.223 0.250 0.625
B 0.250 0.723 0.875
B 0.250 0.777 0.375
B 0.277 0.250 0.125
B 0.723 0.750 0.125
B 0.750 0.223 0.375
B 0.750 0.277 0.875
B 0.777 0.750 0.625

=====

[7]
Sm5MgHg4 after structural relaxation. Source: the Alexandria database, functional PBE.

## Properties
- total energy (eV per atom) = -3.037
- ΔE_f (meV/atom) = -397

abc: 3.821 3.821 18.806
angles: 90.00 90.00 90.00
Element x y z (fractional)
Sm 0.000 0.000 0.000
Sm 0.000 0.000 0.199
Sm 0.000 0.000 0.398
Sm 0.000 0.000 0.602
Sm 0.000 0.000 0.801
Mg 0.500 0.500 0.500
Hg 0.500 0.500 0.100
Hg 0.500 0.500 0.302
Hg 0.500 0.500 0.698
Hg 0.500 0.500 0.900

=====

[8]
Sn2PbO6 after structural relaxation. Source: the Alexandria database, functional PBE.

## Properties
- total energy (eV per atom) = -5.896
- uncorrected formation energy (eV per atom) = -1.29

abc: 9.317 9.317 4.668
angles: 90.00 90.00 120.00
Element x y z (fractional)
Sn 0.000 0.355 0.000
Sn 0.000 0.691 0.500
Sn 0.309 0.309 0.500
Sn 0.355 0.000 0.000
Sn 0.645 0.645 0.000
Sn 0.691 0.000 0.500
Pb 0.000 0.000 0.000
Pb 0.333 0.667 0.495
Pb 0.667 0.333 0.505
O 0.102 0.231 0.239
O 0.102 0.569 0.252
O 0.128 0.898 0.239
O 0.215 0.436 0.740
O 0.220 0.785 0.740
O 0.231 0.102 0.761
O 0.431 0.534 0.252
O 0.436 0.215 0.260
O 0.466 0.898 0.252
O 0.534 0.431 0.748
O 0.564 0.780 0.740
O 0.569 0.102 0.748
O 0.769 0.872 0.239
O 0.780 0.564 0.260
O 0.785 0.220 0.260
O 0.872 0.769 0.761
O 0.898 0.128 0.761
O 0.898 0.466 0.748